# Ce5AlGe4 | Alexandria | PBE | optimized geometry
data_Ce5AlGe4
_cell_length_a 13.522
_cell_length_b 5.534
_cell_length_c 6.265
_cell_angle_alpha 90.00
_cell_angle_beta 96.00
_cell_angle_gamma 90.00
_symmetry_space_group_name_H-M 'C 1 2/m 1'
_symmetry_Int_Tables_number 12
loop_
_symmetry_equiv_pos_as_xyz
'x,y,z'
'-x,-y,-z'
'-x,y,-z'
'x,-y,z'
'x+1/2,y+1/2,z'
'-x+1/2,-y+1/2,-z'
'-x+1/2,y+1/2,-z'
'x+1/2,-y+1/2,z'
loop_
_atom_site_label
_atom_site_type_symbol
_atom_site_fract_x
_atom_site_fract_y
_atom_site_fract_z
Ce1 Ce 0.000 0.000 0.000
Ce2 Ce 0.108 0.500 0.427
Ce3 Ce 0.204 0.000 0.833
Al1 Al 0.000 0.000 0.500
Ge1 Ge 0.087 0.500 0.913
Ge2 Ge 0.186 0.000 0.325
# **Density of states at the Fermi level**: 20.82 states/eV/f.u.
# **Formation energy from the elements**: -0.58 eV per atom
# **Energy**: -115.40 eV for the cell shown

# Ce5AlGe3 | Alexandria | PBE | optimized geometry
data_Ce5AlGe3
_cell_length_a 9.0261
_cell_length_b 9.0261
_cell_length_c 6.2280
_cell_angle_alpha 90.00
_cell_angle_beta 90.00
_cell_angle_gamma 120.00
_symmetry_space_group_name_H-M 'P 63/m c m'
_symmetry_Int_Tables_number 193
_symmetry_space_group_name_Hall '-P 6c 2'
loop_
_atom_site_label
_atom_site_type_symbol
_atom_site_fract_x
_atom_site_fract_y
_atom_site_fract_z
Ce1 Ce 0.0000 0.2935 0.2500
Ce2 Ce 0.3333 0.6667 0.0000
Al1 Al 0.0000 0.0000 0.0000
Ge1 Ge 0.0000 0.3626 0.7500
# **Density of states at the Fermi level**: 17.71 states/eV/f.u.
# **Formation energy from the elements**: -0.57 eV per atom
# **Energy**: -104.73 eV for the cell shown

# Ce3Al2Ge3 | Alexandria | PBE | optimized geometry
data_Ce3Al2Ge3
_cell_length_a 4.459
_cell_length_b 10.739
_cell_length_c 14.898
_cell_angle_alpha 90.00
_cell_angle_beta 90.00
_cell_angle_gamma 90.00
_symmetry_space_group_name_H-M 'C m c m'
_symmetry_Int_Tables_number 63
_symmetry_space_group_name_Hall '-C 2c 2'
loop_
_atom_site_label
_atom_site_type_symbol
_atom_site_fract_x
_atom_site_fract_y
_atom_site_fract_z
Ce1 Ce 0.000 0.061 0.250
Ce2 Ce 0.000 0.161 0.529
Al1 Al 0.000 0.341 0.164
Ge1 Ge 0.000 0.225 0.750
Ge2 Ge 0.000 0.450 0.586
# **Density of states at the Fermi level**: 15.09 states/eV/f.u.
# **Formation energy from the elements**: -0.47 eV per atom
# **Offset from the most stable computed form**: 0 meV/atom
# **Energy**: -171.65 eV for the cell shown

# CeAl2Ge2 | Alexandria | PBE | optimized geometry
data_CeAl2Ge2
_cell_length_a 4.2825
_cell_length_b 4.2825
_cell_length_c 6.8837
_cell_angle_alpha 90.00
_cell_angle_beta 90.00
_cell_angle_gamma 120.00
_symmetry_space_group_name_H-M 'P -3 m 1'
_symmetry_Int_Tables_number 164
_symmetry_space_group_name_Hall '-P 3 2"'
loop_
_atom_site_label
_atom_site_type_symbol
_atom_site_fract_x
_atom_site_fract_y
_atom_site_fract_z
Ce1 Ce 0.0000 0.0000 0.0000
Al1 Al 0.3333 0.6667 0.6414
Ge1 Ge 0.3333 0.6667 0.2639
# **Density of states at the Fermi level**: 6.73 states/eV/f.u.
# **Formation energy from the elements**: -0.41 eV per atom
# **Offset from the most stable computed form**: 0 meV/atom
# **Energy**: -24.69 eV for the cell shown

# CeAl2Ge | Alexandria | PBE | optimized geometry
data_CeAl2Ge
_cell_length_a 4.256
_cell_length_b 4.256
_cell_length_c 4.475
_cell_angle_alpha 90.00
_cell_angle_beta 90.00
_cell_angle_gamma 90.00
_symmetry_space_group_name_H-M 'P 4/m m m'
_symmetry_Int_Tables_number 123
_symmetry_space_group_name_Hall '-P 4 2'
loop_
_atom_site_label
_atom_site_type_symbol
_atom_site_fract_x
_atom_site_fract_y
_atom_site_fract_z
Ce1 Ce 0.000 0.000 0.000
Al1 Al 0.000 0.500 0.500
Ge1 Ge 0.500 0.500 0.000
# **Density of states at the Fermi level**: 4.75 states/eV/f.u.
# **Formation energy from the elements**: -0.44 eV per atom
# **Offset from the most stable computed form**: 0 meV/atom
# **Energy**: -19.79 eV for the cell shown

# CeAlGe2 | Alexandria | PBE | optimized geometry
data_CeAlGe2
_cell_length_a 3.897
_cell_length_b 8.272
_cell_length_c 5.220
_cell_angle_alpha 90.00
_cell_angle_beta 90.00
_cell_angle_gamma 90.00
_symmetry_space_group_name_H-M 'P m m n'
_symmetry_Int_Tables_number 59
loop_
_symmetry_equiv_pos_as_xyz
'x,y,z'
'-x,-y,-z'
'-x+1/2,-y+1/2,z'
'x+1/2,y+1/2,-z'
'x+1/2,-y,-z'
'-x+1/2,y,z'
'-x,y+1/2,-z'
'x,-y+1/2,z'
loop_
_atom_site_label
_atom_site_type_symbol
_atom_site_fract_x
_atom_site_fract_y
_atom_site_fract_z
Ce1 Ce 0.250 0.250 0.133
Al1 Al 0.250 0.750 0.345
Ge1 Ge 0.250 0.014 0.675
# **Density of states at the Fermi level**: 5.01 states/eV/f.u.
# **Formation energy from the elements**: -0.42 eV per atom
# **Energy**: -41.20 eV for the cell shown

# Ce2AlGe3 | Alexandria | PBE | optimized geometry
data_Ce2AlGe3
_cell_length_a 4.455
_cell_length_b 6.101
_cell_length_c 10.539
_cell_angle_alpha 90.00
_cell_angle_beta 90.00
_cell_angle_gamma 90.00
_symmetry_space_group_name_H-M 'I m m m'
_symmetry_Int_Tables_number 71
_symmetry_space_group_name_Hall '-I 2 2'
loop_
_atom_site_label
_atom_site_type_symbol
_atom_site_fract_x
_atom_site_fract_y
_atom_site_fract_z
Ce1 Ce 0.000 0.000 0.187
Al1 Al 0.000 0.000 0.500
Ge1 Ge 0.000 0.500 0.132
Ge2 Ge 0.000 0.500 0.500
# **Density of states at the Fermi level**: 6.98 states/eV/f.u.
# **Formation energy from the elements**: -0.35 eV per atom
# **Offset from the most stable computed form**: 212 meV/atom
# **Energy**: -63.14 eV for the cell shown

# Ce12AlGe6 | Alexandria | PBE | optimized geometry
data_Ce12AlGe6
_cell_length_a 13.1608
_cell_length_b 13.1608
_cell_length_c 10.1741
_cell_angle_alpha 90.00
_cell_angle_beta 90.00
_cell_angle_gamma 120.00
_symmetry_space_group_name_H-M 'R -3 m'
_symmetry_Int_Tables_number 166
_symmetry_space_group_name_Hall '-R 3 2"'
loop_
_atom_site_label
_atom_site_type_symbol
_atom_site_fract_x
_atom_site_fract_y
_atom_site_fract_z
Ce1 Ce 0.0000 0.3955 0.0000
Ce2 Ce 0.0843 0.1685 0.8162
Al1 Al 0.0000 0.0000 0.5000
Ge1 Ge 0.0423 0.5211 0.7425
# **Density of states at the Fermi level**: 49.48 states/eV/f.u.
# **Formation energy from the elements**: -0.28 eV per atom
# **Energy**: -323.69 eV for the cell shown

# Ce2AlGe | Alexandria | PBE | optimized geometry
data_Ce2AlGe
_cell_length_a 3.862
_cell_length_b 3.862
_cell_length_c 6.398
_cell_angle_alpha 90.00
_cell_angle_beta 90.00
_cell_angle_gamma 90.00
_symmetry_space_group_name_H-M 'P 4/m m m'
_symmetry_Int_Tables_number 123
_symmetry_space_group_name_Hall '-P 4 2'
loop_
_atom_site_label
_atom_site_type_symbol
_atom_site_fract_x
_atom_site_fract_y
_atom_site_fract_z
Ce1 Ce 0.000 0.000 0.227
Al1 Al 0.500 0.500 0.500
Ge1 Ge 0.500 0.500 0.000
# **Density of states at the Fermi level**: 9.52 states/eV/f.u.
# **Formation energy from the elements**: -0.46 eV per atom
# **Energy**: -22.08 eV for the cell shown

# CeAlGe2 | Alexandria | PBE | optimized geometry
data_CeAlGe2
_cell_length_a 4.431
_cell_length_b 4.431
_cell_length_c 4.119
_cell_angle_alpha 90.00
_cell_angle_beta 90.00
_cell_angle_gamma 90.00
_symmetry_space_group_name_H-M 'P 4/m m m'
_symmetry_Int_Tables_number 123
_symmetry_space_group_name_Hall '-P 4 2'
loop_
_atom_site_label
_atom_site_type_symbol
_atom_site_fract_x
_atom_site_fract_y
_atom_site_fract_z
Ce1 Ce 0.000 0.000 0.000
Al1 Al 0.500 0.500 0.000
Ge1 Ge 0.000 0.500 0.500
# **Density of states at the Fermi level**: 4.20 states/eV/f.u.
# **Formation energy from the elements**: -0.50 eV per atom
# **Energy**: -20.90 eV for the cell shown

# CeAlGe2 | Alexandria | PBE | optimized geometry
data_CeAlGe2
_cell_length_a 3.573
_cell_length_b 3.573
_cell_length_c 6.355
_cell_angle_alpha 90.00
_cell_angle_beta 90.00
_cell_angle_gamma 90.00
_symmetry_space_group_name_H-M 'P 4/m m m'
_symmetry_Int_Tables_number 123
_symmetry_space_group_name_Hall '-P 4 2'
loop_
_atom_site_label
_atom_site_type_symbol
_atom_site_fract_x
_atom_site_fract_y
_atom_site_fract_z
Ce1 Ce 0.000 0.000 0.000
Al1 Al 0.000 0.000 0.500
Ge1 Ge 0.500 0.500 0.297
# **Density of states at the Fermi level**: 5.43 states/eV/f.u.
# **Formation energy from the elements**: -0.33 eV per atom
# **Energy**: -20.22 eV for the cell shown

# CeAl2GeH2 | Alexandria | PBE | optimized geometry
data_CeAl2GeH2
_cell_length_a 5.906
_cell_length_b 5.824
_cell_length_c 5.934
_cell_angle_alpha 90.00
_cell_angle_beta 118.59
_cell_angle_gamma 90.00
_symmetry_space_group_name_H-M 'P 1 21/m 1'
_symmetry_Int_Tables_number 11
loop_
_symmetry_equiv_pos_as_xyz
'x,y,z'
'-x,-y,-z'
'-x,y+1/2,-z'
'x,-y+1/2,z'
loop_
_atom_site_label
_atom_site_type_symbol
_atom_site_fract_x
_atom_site_fract_y
_atom_site_fract_z
Ce1 Ce 0.235 0.250 0.478
Al1 Al 0.258 0.510 0.984
Ge1 Ge 0.166 0.750 0.318
H1 H 0.365 0.250 0.185
H2 H 0.453 0.250 0.902
# **Density of states at the Fermi level**: 4.72 states/eV/f.u.
# **Energy**: -52.14 eV for the cell shown

# Ce2AlGe3Ir4 | Alexandria | PBE | optimized geometry
data_Ce2AlGe3Ir4
_cell_length_a 4.201
_cell_length_b 4.201
_cell_length_c 10.415
_cell_angle_alpha 90.00
_cell_angle_beta 90.00
_cell_angle_gamma 90.00
_symmetry_space_group_name_H-M 'P -4 m 2'
_symmetry_Int_Tables_number 115
loop_
_symmetry_equiv_pos_as_xyz
'x,y,z'
'y,-x,-z'
'-x,-y,z'
'-y,x,-z'
'-x,y,z'
'-y,-x,-z'
'x,-y,z'
'y,x,-z'
loop_
_atom_site_label
_atom_site_type_symbol
_atom_site_fract_x
_atom_site_fract_y
_atom_site_fract_z
Ce1 Ce 0.000 0.500 0.247
Al1 Al 0.500 0.500 0.000
Ge1 Ge 0.000 0.000 0.000
Ge2 Ge 0.000 0.500 0.630
Ir1 Ir 0.000 0.000 0.500
Ir2 Ir 0.000 0.500 0.865
Ir3 Ir 0.500 0.500 0.500
# **Density of states at the Fermi level**: 9.59 states/eV/f.u.
# **Formation energy from the elements**: -0.82 eV per atom
# **Energy**: -73.07 eV for the cell shown

# LaCeAl2Ge2 | Alexandria | PBE | optimized geometry
data_LaCeAl2Ge2
_cell_length_a 4.2874
_cell_length_b 4.2874
_cell_length_c 8.6307
_cell_angle_alpha 90.00
_cell_angle_beta 90.00
_cell_angle_gamma 120.00
_symmetry_space_group_name_H-M 'P -3 m 1'
_symmetry_Int_Tables_number 164
_symmetry_space_group_name_Hall '-P 3 2"'
loop_
_atom_site_label
_atom_site_type_symbol
_atom_site_fract_x
_atom_site_fract_y
_atom_site_fract_z
La1 La 0.0000 0.0000 0.0000
Ce1 Ce 0.0000 0.0000 0.5000
Al1 Al 0.3333 0.6667 0.7383
Ge1 Ge 0.3333 0.6667 0.2524
# **Density of states at the Fermi level**: 6.20 states/eV/f.u.
# **Formation energy from the elements**: -0.64 eV per atom
# **Energy**: -31.41 eV for the cell shown

# CeMgAlGe2 | Alexandria | PBE | optimized geometry
data_CeMgAlGe2
_cell_length_a 13.237
_cell_length_b 4.270
_cell_length_c 9.999
_cell_angle_alpha 90.00
_cell_angle_beta 125.52
_cell_angle_gamma 90.00
_symmetry_space_group_name_H-M 'C 1 2/m 1'
_symmetry_Int_Tables_number 12
loop_
_symmetry_equiv_pos_as_xyz
'x,y,z'
'-x,-y,-z'
'-x,y,-z'
'x,-y,z'
'x+1/2,y+1/2,z'
'-x+1/2,-y+1/2,-z'
'-x+1/2,y+1/2,-z'
'x+1/2,-y+1/2,z'
loop_
_atom_site_label
_atom_site_type_symbol
_atom_site_fract_x
_atom_site_fract_y
_atom_site_fract_z
Ce1 Ce 0.203 0.000 0.152
Mg1 Mg 0.138 0.500 0.411
Al1 Al 0.053 0.000 0.731
Ge1 Ge 0.078 0.500 0.893
Ge2 Ge 0.156 0.000 0.581
# **Density of states at the Fermi level**: 6.41 states/eV/f.u.
# **Formation energy from the elements**: -0.36 eV per atom
# **Energy**: -89.20 eV for the cell shown

# CeMnAlGe2 | Alexandria | PBE | optimized geometry
data_CeMnAlGe2
_cell_length_a 4.003
_cell_length_b 4.003
_cell_length_c 11.592
_cell_angle_alpha 90.00
_cell_angle_beta 90.00
_cell_angle_gamma 90.00
_symmetry_space_group_name_H-M 'I -4 m 2'
_symmetry_Int_Tables_number 119
_symmetry_space_group_name_Hall 'I -4 -2'
loop_
_atom_site_label
_atom_site_type_symbol
_atom_site_fract_x
_atom_site_fract_y
_atom_site_fract_z
Ce1 Ce 0.000 0.000 0.000
Mn1 Mn 0.000 0.500 0.750
Al1 Al 0.000 0.500 0.250
Ge1 Ge 0.000 0.000 0.387
# **Density of states at the Fermi level**: 5.30 states/eV/f.u.
# **Formation energy from the elements**: -0.45 eV per atom
# **Energy**: -60.65 eV for the cell shown

# Ce2MnAlGe6 | Alexandria | PBE | optimized geometry
data_Ce2MnAlGe6
_cell_length_a 6.2702
_cell_length_b 6.2702
_cell_length_c 34.7823
_cell_angle_alpha 90.00
_cell_angle_beta 90.00
_cell_angle_gamma 120.00
_symmetry_space_group_name_H-M 'R -3 m'
_symmetry_Int_Tables_number 166
_symmetry_space_group_name_Hall '-R 3 2"'
loop_
_atom_site_label
_atom_site_type_symbol
_atom_site_fract_x
_atom_site_fract_y
_atom_site_fract_z
Ce1 Ce 0.0000 0.0000 0.1107
Ce2 Ce 0.0000 0.0000 0.2907
Mn1 Mn 0.0000 0.0000 0.0000
Mn2 Mn 0.0000 0.0000 0.5000
Al1 Al 0.0000 0.0000 0.4285
Ge1 Ge 0.0338 0.5169 0.2937
Ge2 Ge 0.0658 0.5329 0.8660
# **Density of states at the Fermi level**: 10.45 states/eV/f.u.
# **Formation energy from the elements**: -0.30 eV per atom
# **Energy**: -332.82 eV for the cell shown

# CeAlGe2Mo | Alexandria | PBE | optimized geometry
data_CeAlGe2Mo
_cell_length_a 5.694
_cell_length_b 5.791
_cell_length_c 5.873
_cell_angle_alpha 90.00
_cell_angle_beta 90.00
_cell_angle_gamma 90.00
_symmetry_space_group_name_H-M 'P m m a'
_symmetry_Int_Tables_number 51
loop_
_symmetry_equiv_pos_as_xyz
'x,y,z'
'-x,-y,-z'
'-x+1/2,-y,z'
'x+1/2,y,-z'
'x+1/2,-y,-z'
'-x+1/2,y,z'
'-x,y,-z'
'x,-y,z'
loop_
_atom_site_label
_atom_site_type_symbol
_atom_site_fract_x
_atom_site_fract_y
_atom_site_fract_z
Ce1 Ce 0.250 0.000 0.221
Al1 Al 0.250 0.500 0.384
Ge1 Ge 0.250 0.225 0.731
Mo1 Mo 0.000 0.500 0.000
# **Density of states at the Fermi level**: 4.93 states/eV/f.u.
# **Formation energy from the elements**: -0.39 eV per atom
# **Energy**: -63.38 eV for the cell shown

# Na2CeAlGe2 | Alexandria | PBE | optimized geometry
data_Na2CeAlGe2
_cell_length_a 4.369
_cell_length_b 8.723
_cell_length_c 7.433
_cell_angle_alpha 90.00
_cell_angle_beta 90.00
_cell_angle_gamma 90.00
_symmetry_space_group_name_H-M 'P m c 21'
_symmetry_Int_Tables_number 26
loop_
_symmetry_equiv_pos_as_xyz
'x,y,z'
'-x,-y,z+1/2'
'-x,y,z'
'x,-y,z+1/2'
loop_
_atom_site_label
_atom_site_type_symbol
_atom_site_fract_x
_atom_site_fract_y
_atom_site_fract_z
Na1 Na 0.000 0.082 0.000
Na2 Na 0.500 0.155 0.322
Ce1 Ce 0.500 0.446 0.971
Al1 Al 0.000 0.322 0.632
Ge1 Ge 0.000 0.387 0.259
Ge2 Ge 0.500 0.180 0.715
# **Density of states at the Fermi level**: 6.26 states/eV/f.u.
# **Formation energy from the elements**: -0.36 eV per atom
# **Energy**: -47.37 eV for the cell shown

# CeNbAlGe2 | Alexandria | PBE | optimized geometry
data_CeNbAlGe2
_cell_length_a 3.994
_cell_length_b 3.994
_cell_length_c 12.326
_cell_angle_alpha 90.00
_cell_angle_beta 90.00
_cell_angle_gamma 90.00
_symmetry_space_group_name_H-M 'I -4 m 2'
_symmetry_Int_Tables_number 119
_symmetry_space_group_name_Hall 'I -4 -2'
loop_
_atom_site_label
_atom_site_type_symbol
_atom_site_fract_x
_atom_site_fract_y
_atom_site_fract_z
Ce1 Ce 0.000 0.000 0.000
Nb1 Nb 0.000 0.500 0.750
Al1 Al 0.000 0.500 0.250
Ge1 Ge 0.000 0.000 0.397
# **Density of states at the Fermi level**: 6.40 states/eV/f.u.
# **Formation energy from the elements**: -0.49 eV per atom
# **Energy**: -62.86 eV for the cell shown